(1)
Entry from the Alexandria database: a crystal of Li2CrP relaxed with PBEsol (SCAN).

a b c (Å): 4.1331 4.1331 4.1331
angles (deg): 60.00 60.00 60.00
Atoms (fractional coordinates):
Li 0.7500 0.7500 0.7500
Li 0.0000 0.0000 0.0000
P 0.5000 0.5000 0.5000
Cr 0.2500 0.2500 0.2500

=====

(2)
Entry from the Alexandria database: a crystal of LiCrP2 relaxed with PBEsol (SCAN).

Summary:
Relative energy among the computed polymorphs   100 meV per atom

a b c (Å): 3.4544 3.4544 4.7660
angles (deg): 111.25 111.25 90.00
Atoms (fractional coordinates):
Cr 0.5000 0.5000 0.0000
P 0.7500 0.2500 0.5000
P 0.0000 0.0000 0.0000
Li 0.2500 0.7500 0.5000

=====

(3)
Entry from the Alexandria database: a crystal of LiCrP2 relaxed with PBEsol (SCAN).

Summary:
Relative energy among the computed polymorphs   0 meV per atom

a b c (Å): 2.9877 3.9541 5.1161
angles (deg): 102.42 90.00 112.20
Atoms (fractional coordinates):
P 0.2637 0.5274 0.3212
P 0.7363 0.4726 0.6788
Li 0.5000 0.0000 0.0000
Cr 0.0000 0.0000 0.5000

=====

(4)
Entry from the Alexandria database: a crystal of LiCrP2 relaxed with PBEsol (SCAN).

Summary:
Relative energy among the computed polymorphs   113 meV per atom

a b c (Å): 2.9673 3.8882 4.5003
angles (deg): 96.92 109.25 90.00
Atoms (fractional coordinates):
P 0.2103 0.3420 0.4206
P 0.0300 0.8877 0.0599
Cr 0.4986 0.4065 0.9972
Li 0.7611 0.8637 0.5222

=====

(5)
Entry from the Alexandria database: a crystal of Li2CrP relaxed with PBEsol (SCAN).

a b c (Å): 2.4102 2.4102 8.4489
angles (deg): 90.00 90.00 90.11
Atoms (fractional coordinates):
Li 0.0000 0.0000 0.2686
Cr 0.5000 0.5000 0.0000
P 0.5000 0.5000 0.5000
Li 0.0000 0.0000 0.7314

=====

(6)
Entry from the Alexandria database: a crystal of Li2CrP relaxed with PBEsol (SCAN).

a b c (Å): 2.5150 4.2101 5.0398
angles (deg): 112.18 100.50 99.27
Atoms (fractional coordinates):
Cr 0.0000 0.5000 0.0000
Li 0.0000 0.0000 0.5000
Li 0.5000 0.5000 0.5000
P 0.5000 0.0000 0.0000

=====

| no. | energy of formation (eV/atom) |
| --- | --- |
| 1 | -0.41 |
| 2 | -0.20 |
| 3 | -0.30 |
| 4 | -0.19 |
| 5 | 0.18 |
| 6 | 0.02 |